1.
! PmHoS GGA-PBE optimized geometry; values from VASP
&SYSTEM
  ibrav = 0, nat = 6, ntyp = 3
/
ATOMIC_SPECIES
Pm 145.00 Pm.upf
Ho 164.93 Ho.upf
S 32.06 S.upf
CELL_PARAMETERS angstrom
2.468 1.425 7.128
-2.468 1.425 7.128
0.000 -2.850 7.128
ATOMIC_POSITIONS crystal
Pm 0.122 0.122 0.122
Pm 0.878 0.878 0.878
Ho 0.377 0.377 0.377
Ho 0.623 0.623 0.623
S 0.253 0.253 0.253
S 0.747 0.747 0.747
! Space-group type   No. 166
! ΔE to the lowest computed polymorph   411.6 meV/atom
! Total magnetic moment   0.000 μB/cell

***

2.
! Pm3HoS4 GGA-PBE optimized geometry; values from VASP
&SYSTEM
  ibrav = 0, nat = 8, ntyp = 3
/
ATOMIC_SPECIES
Pm 145.00 Pm.upf
Ho 164.93 Ho.upf
S 32.06 S.upf
CELL_PARAMETERS angstrom
5.656 0.000 0.000
0.000 5.656 0.000
0.000 0.000 5.656
ATOMIC_POSITIONS crystal
Pm 0.000 0.000 0.500
Pm 0.000 0.500 0.000
Pm 0.500 0.000 0.000
Ho 0.500 0.500 0.500
S 0.000 0.000 0.000
S 0.000 0.500 0.500
S 0.500 0.000 0.500
S 0.500 0.500 0.000
! Space-group type   No. 221
! ΔE to the lowest computed polymorph   24.7 meV/atom
! Total magnetic moment   0.000 μB/cell

***

3.
! PmHoS2 GGA-PBE optimized geometry; values from VASP
&SYSTEM
  ibrav = 0, nat = 8, ntyp = 3
/
ATOMIC_SPECIES
Pm 145.00 Pm.upf
Ho 164.93 Ho.upf
S 32.06 S.upf
CELL_PARAMETERS angstrom
6.815 0.000 0.000
0.000 3.949 0.000
-2.286 0.000 6.523
ATOMIC_POSITIONS crystal
Pm 0.000 0.000 0.000
Pm 0.500 0.500 0.000
Ho 0.000 0.500 0.500
Ho 0.500 0.000 0.500
S 0.245 0.000 0.735
S 0.255 0.500 0.265
S 0.745 0.500 0.735
S 0.755 0.000 0.265
! Space-group type   No. 12
! ΔE to the lowest computed polymorph   0.0 meV/atom
! Total magnetic moment   0.000 μB/cell

***

4.
! PmHoS2 GGA-PBE optimized geometry; values from VASP
&SYSTEM
  ibrav = 0, nat = 12, ntyp = 3
/
ATOMIC_SPECIES
Pm 145.00 Pm.upf
Ho 164.93 Ho.upf
S 32.06 S.upf
CELL_PARAMETERS angstrom
3.884 0.000 0.000
-1.942 3.364 0.000
0.000 0.000 20.484
ATOMIC_POSITIONS crystal
Pm 0.000 0.000 0.000
Pm 0.333 0.667 0.667
Pm 0.667 0.333 0.333
Ho 0.000 0.000 0.822
Ho 0.333 0.667 0.489
Ho 0.667 0.333 0.155
S 0.000 0.000 0.239
S 0.000 0.000 0.417
S 0.333 0.667 0.083
S 0.333 0.667 0.906
S 0.667 0.333 0.573
S 0.667 0.333 0.750
! Space-group type   No. 160
! ΔE to the lowest computed polymorph   29.2 meV/atom
! Total magnetic moment   0.000 μB/cell

***

5.
! PmHo5S6 GGA-PBE optimized geometry; values from VASP
&SYSTEM
  ibrav = 0, nat = 12, ntyp = 3
/
ATOMIC_SPECIES
Pm 145.00 Pm.upf
Ho 164.93 Ho.upf
S 32.06 S.upf
CELL_PARAMETERS angstrom
3.386 -5.876 0.000
3.386 5.876 0.000
-2.275 0.000 6.367
ATOMIC_POSITIONS crystal
Pm 0.000 0.000 0.000
Ho 0.162 0.838 0.500
Ho 0.334 0.666 0.000
Ho 0.500 0.500 0.500
Ho 0.666 0.334 0.000
Ho 0.838 0.162 0.500
S 0.085 0.427 0.255
S 0.257 0.257 0.748
S 0.427 0.085 0.255
S 0.573 0.915 0.745
S 0.743 0.743 0.252
S 0.915 0.573 0.745
! Space-group type   No. 12
! Total magnetic moment   0.000 μB/cell

***

6.
! Pm2HoS4 GGA-PBE optimized geometry; values from VASP
&SYSTEM
  ibrav = 0, nat = 14, ntyp = 3
/
ATOMIC_SPECIES
Pm 145.00 Pm.upf
Ho 164.93 Ho.upf
S 32.06 S.upf
CELL_PARAMETERS angstrom
0.000 5.794 5.802
5.789 0.000 5.802
5.789 5.794 0.000
ATOMIC_POSITIONS crystal
Pm 0.000 0.000 0.000
Pm 0.000 0.000 0.500
Pm 0.000 0.500 0.000
Pm 0.500 0.000 0.000
Ho 0.375 0.375 0.375
Ho 0.625 0.625 0.625
S 0.236 0.754 0.755
S 0.245 0.245 0.246
S 0.245 0.245 0.764
S 0.246 0.764 0.245
S 0.754 0.236 0.755
S 0.755 0.755 0.236
S 0.755 0.755 0.754
S 0.764 0.246 0.245
! Space-group type   No. 70
! ΔE to the lowest computed polymorph   109.8 meV/atom
! Total magnetic moment   0.000 μB/cell

***

7.
! Pm3Ho4S8 GGA-PBE optimized geometry; values from VASP
&SYSTEM
  ibrav = 0, nat = 15, ntyp = 3
/
ATOMIC_SPECIES
Pm 145.00 Pm.upf
Ho 164.93 Ho.upf
S 32.06 S.upf
CELL_PARAMETERS angstrom
5.583 -5.586 0.000
5.583 5.586 0.000
-5.551 0.000 5.589
ATOMIC_POSITIONS crystal
Pm 0.000 0.000 0.000
Pm 0.000 0.500 0.000
Pm 0.500 0.000 0.000
Ho 0.000 0.500 0.500
Ho 0.500 0.000 0.500
Ho 0.500 0.500 0.000
Ho 0.500 0.500 0.500
S 0.253 0.747 0.500
S 0.254 0.746 0.000
S 0.257 0.257 0.509
S 0.258 0.258 0.007
S 0.742 0.742 0.993
S 0.743 0.743 0.491
S 0.746 0.254 0.000
S 0.747 0.253 0.500
! Space-group type   No. 12
! Total magnetic moment   0.000 μB/cell

***

8.
! Pm2Ho3S4 GGA-PBE optimized geometry; values from VASP
&SYSTEM
  ibrav = 0, nat = 9, ntyp = 3
/
ATOMIC_SPECIES
Pm 145.00 Pm.upf
Ho 164.93 Ho.upf
S 32.06 S.upf
CELL_PARAMETERS angstrom
3.904 0.000 0.000
-1.952 3.381 0.000
0.000 0.000 16.075
ATOMIC_POSITIONS crystal
Pm 0.333 0.667 0.207
Pm 0.667 0.333 0.793
Ho 0.000 0.000 0.000
Ho 0.333 0.667 0.590
Ho 0.667 0.333 0.410
S 0.000 0.000 0.314
S 0.000 0.000 0.686
S 0.333 0.667 0.903
S 0.667 0.333 0.097
! Space-group type   No. 164
! Total magnetic moment   0.322 μB/cell

***

9.
! Pm5HoS6 GGA-PBE optimized geometry; values from VASP
&SYSTEM
  ibrav = 0, nat = 12, ntyp = 3
/
ATOMIC_SPECIES
Pm 145.00 Pm.upf
Ho 164.93 Ho.upf
S 32.06 S.upf
CELL_PARAMETERS angstrom
3.471 -6.025 0.000
3.471 6.025 0.000
-2.334 0.000 6.533
ATOMIC_POSITIONS crystal
Pm 0.000 0.000 0.000
Pm 0.168 0.832 0.500
Pm 0.329 0.671 0.000
Pm 0.671 0.329 0.000
Pm 0.832 0.168 0.500
Ho 0.500 0.500 0.500
S 0.094 0.418 0.256
S 0.257 0.257 0.747
S 0.418 0.094 0.256
S 0.582 0.906 0.744
S 0.743 0.743 0.253
S 0.906 0.582 0.744
! Space-group type   No. 12
! Total magnetic moment   0.000 μB/cell

***

10.
! PmHo2S4 GGA-PBE optimized geometry; values from VASP
&SYSTEM
  ibrav = 0, nat = 28, ntyp = 3
/
ATOMIC_SPECIES
Pm 145.00 Pm.upf
Ho 164.93 Ho.upf
S 32.06 S.upf
CELL_PARAMETERS angstrom
11.959 0.000 0.000
0.000 3.861 0.000
0.000 0.000 14.042
ATOMIC_POSITIONS crystal
Pm 0.250 0.250 0.168
Pm 0.250 0.750 0.668
Pm 0.750 0.250 0.332
Pm 0.750 0.750 0.832
Ho 0.062 0.250 0.387
Ho 0.094 0.250 0.906
Ho 0.406 0.750 0.406
Ho 0.438 0.750 0.887
Ho 0.562 0.250 0.113
Ho 0.594 0.250 0.594
Ho 0.906 0.750 0.094
Ho 0.938 0.750 0.613
S 0.042 0.750 0.783
S 0.096 0.250 0.578
S 0.130 0.750 0.042
S 0.200 0.750 0.317
S 0.300 0.250 0.817
S 0.370 0.250 0.542
S 0.404 0.750 0.078
S 0.458 0.250 0.283
S 0.542 0.750 0.717
S 0.596 0.250 0.922
S 0.630 0.750 0.458
S 0.700 0.750 0.183
S 0.800 0.250 0.683
S 0.870 0.250 0.958
S 0.904 0.750 0.422
S 0.958 0.250 0.217
! Space-group type   No. 62
! ΔE to the lowest computed polymorph   20.1 meV/atom
! Total magnetic moment   0.000 μB/cell

***

11.
! Pm2HoS4 GGA-PBE optimized geometry; values from VASP
&SYSTEM
  ibrav = 0, nat = 14, ntyp = 3
/
ATOMIC_SPECIES
Pm 145.00 Pm.upf
Ho 164.93 Ho.upf
S 32.06 S.upf
CELL_PARAMETERS angstrom
-3.970 4.026 5.555
3.970 -4.026 5.555
3.970 4.026 -5.555
ATOMIC_POSITIONS crystal
Pm 0.000 0.000 0.000
Pm 0.500 0.000 0.000
Pm 0.500 0.000 0.500
Pm 0.500 0.500 0.500
Ho 0.000 0.000 0.500
Ho 0.000 0.500 0.000
S 0.238 0.746 0.492
S 0.246 0.241 0.495
S 0.246 0.254 0.992
S 0.246 0.751 0.005
S 0.754 0.249 0.995
S 0.754 0.746 0.008
S 0.754 0.759 0.505
S 0.762 0.254 0.508
! Space-group type   No. 74
! ΔE to the lowest computed polymorph   0.0 meV/atom
! Total magnetic moment   0.000 μB/cell

***

12.
! Pm3Ho5S8 GGA-PBE optimized geometry; values from VASP
&SYSTEM
  ibrav = 0, nat = 16, ntyp = 3
/
ATOMIC_SPECIES
Pm 145.00 Pm.upf
Ho 164.93 Ho.upf
S 32.06 S.upf
CELL_PARAMETERS angstrom
3.929 2.268 6.481
-3.929 2.268 6.481
0.000 -4.537 6.481
ATOMIC_POSITIONS crystal
Pm 0.000 0.500 0.500
Pm 0.500 0.000 0.500
Pm 0.500 0.500 0.000
Ho 0.000 0.000 0.000
Ho 0.000 0.000 0.500
Ho 0.000 0.500 0.000
Ho 0.500 0.000 0.000
Ho 0.500 0.500 0.500
S 0.240 0.750 0.750
S 0.245 0.245 0.245
S 0.250 0.250 0.760
S 0.250 0.760 0.250
S 0.750 0.240 0.750
S 0.750 0.750 0.240
S 0.755 0.755 0.755
S 0.760 0.250 0.250
! Space-group type   No. 166
! Total magnetic moment   0.000 μB/cell

***

Calculated ΔE_f (raw) (eV/f.u.), listed in the same order as above: -2.55, -15.96, -8.04, -7.93, -23.83, -13.45, -30.63, -15.86, -24.32, -14.34, -14.21, -31.89